Entry 1:
Density functional theory data (GGA-PBE) for a relaxed structure of La7Pr6Tm16.

extended XYZ file:
```
29
Lattice="-7.832 -6.529 -4.973 -0.665 -11.027 2.582 -8.791 -3.896 6.020" Properties=species:S:1:pos:R:3 pbc="T T T"
Tm -11.280 -15.529 5.545
Tm -10.814 -11.446 -1.820
Tm -6.468 -4.659 3.362
Tm -11.315 -14.040 2.375
Tm -14.722 -13.369 1.917
Tm -2.566 -8.082 1.712
Tm -10.820 -16.793 0.267
Tm -5.972 -7.411 1.254
Tm -15.041 -18.664 3.157
Tm -6.007 -5.923 -1.916
Tm -5.881 -11.632 -1.346
Tm -10.904 -7.225 0.779
Tm -6.383 -14.227 2.850
Tm -2.247 -2.788 0.472
Tm -11.406 -9.819 4.975
Tm -6.474 -10.005 5.449
La -4.728 -7.461 4.301
La -4.395 -1.948 3.010
La -0.332 -5.513 1.291
La -4.248 -8.778 -1.195
La -8.312 -5.212 0.523
La 0.000 0.000 0.000
La -3.916 -3.264 -2.487
Pr -12.546 -10.578 1.439
Pr -4.742 -10.873 2.190
Pr -9.041 -12.778 5.134
Pr -8.247 -8.673 -1.505
Pr -8.572 -14.065 -0.242
Pr -8.716 -7.386 3.871
```

Results
calculated formation energy	238	meV/atom
DFT total energy	-127.81	eV for the cell shown

***

Entry 2:
Density functional theory data (GGA-PBE) for a relaxed structure of LaPrTm2.

extended XYZ file:
```
4
Lattice="-2.142 -0.931 2.772 1.438 -1.452 2.994 1.033 9.875 6.486" Properties=species:S:1:pos:R:3 pbc="T T T"
La -0.468 -1.581 3.848
Tm 0.082 1.868 3.061
Tm 0.718 7.222 5.352
Pr 0.162 3.728 6.119
```

Results
calculated formation energy	30	meV/atom
ΔE to the lowest computed polymorph	0.05	eV per formula unit
DFT total energy	-18.53	eV for the cell shown

***

Entry 3:
Density functional theory data (GGA-PBE) for a relaxed structure of La15PrTm4.

extended XYZ file:
```
20
Lattice="5.202 0.000 0.000 0.000 5.202 0.000 0.000 0.000 26.055" Properties=species:S:1:pos:R:3 pbc="T T T"
Pr 0.000 0.000 0.000
La 2.601 2.601 20.797
La 0.000 2.601 18.207
La 0.000 2.601 7.848
La 2.601 0.000 13.028
La 2.601 0.000 2.660
La 2.601 0.000 18.207
La 2.601 2.601 0.000
La 2.601 2.601 10.437
La 2.601 2.601 15.618
La 0.000 2.601 13.028
La 0.000 2.601 2.660
La 0.000 2.601 23.395
La 2.601 0.000 7.848
La 2.601 0.000 23.395
La 2.601 2.601 5.258
Tm 0.000 0.000 10.436
Tm 0.000 0.000 20.798
Tm 0.000 0.000 15.620
Tm 0.000 0.000 5.257
```

Results
calculated formation energy	8	meV/atom
DFT total energy	-96.42	eV for the cell shown

***

Entry 4:
Density functional theory data (GGA-PBE) for a relaxed structure of La7PrTm12.

extended XYZ file:
```
20
Lattice="-0.437 -0.456 -9.765 4.502 -7.978 3.440 -9.066 0.459 3.653" Properties=species:S:1:pos:R:3 pbc="T T T"
La 2.251 -3.989 1.720
La -2.282 -3.759 3.546
La -0.218 -0.228 -4.882
La 2.033 -4.217 -3.162
La -4.752 0.001 -3.056
La -4.533 0.230 1.826
La -2.501 -3.988 -1.336
Tm 0.692 -6.334 -6.269
Tm -5.693 -1.641 3.597
Tm -4.875 -4.008 -2.867
Tm -3.652 -5.876 0.421
Tm 3.270 -6.109 0.156
Tm -2.583 -0.233 -6.428
Tm -1.349 -2.099 -3.093
Tm -0.126 -3.967 0.195
Tm -1.501 -6.108 -2.912
Tm -3.500 -1.867 0.240
Tm -2.418 -7.742 3.756
Tm -8.271 -1.866 -2.828
Pr 0.000 0.000 0.000
```

Results
calculated formation energy	628	meV/atom
DFT total energy	-80.36	eV for the cell shown

***

Entry 5:
Density functional theory data (GGA-PBE) for a relaxed structure of La3Pr3Tm.

extended XYZ file:
```
14
Lattice="-1.689 -2.727 -5.014 -1.335 -8.420 5.029 -7.471 6.420 -0.974" Properties=species:S:1:pos:R:3 pbc="T T T"
Pr -4.782 -3.620 -1.719
Pr -7.692 1.886 -0.200
Pr -6.357 -6.324 0.282
Pr -5.713 -1.107 0.761
Pr -2.803 -6.613 -0.759
Pr -4.138 1.597 -1.240
La -7.354 -3.840 2.800
La -1.850 -7.156 2.749
La -3.141 -0.887 -3.759
La -8.291 -3.257 -0.734
La -2.204 -1.470 -0.224
La -8.645 2.429 -3.707
Tm -3.802 -4.155 1.775
Tm -6.692 -0.572 -2.733
```

Results
calculated formation energy	30	meV/atom
ΔE to the lowest computed polymorph	0.00	eV per formula unit
DFT total energy	-66.77	eV for the cell shown

***

Entry 6:
Density functional theory data (GGA-PBE) for a relaxed structure of La5Pr2Tm5.

extended XYZ file:
```
12
Lattice="-4.175 2.958 0.271 -5.857 -4.178 3.815 -0.119 3.319 10.388" Properties=species:S:1:pos:R:3 pbc="T T T"
La -6.695 -0.825 2.754
La -2.996 3.895 8.216
La -5.076 1.049 7.237
La -7.156 -1.796 6.258
La -3.457 2.924 11.720
Tm -5.540 0.079 10.694
Tm -4.612 2.020 3.780
Tm -1.717 1.480 5.832
Tm -8.434 0.618 8.642
Tm 0.000 0.000 0.000
Pr -6.369 3.445 9.610
Pr -3.783 -1.346 4.864
```

Results
calculated formation energy	29	meV/atom
DFT total energy	-56.20	eV for the cell shown

***

Entry 7:
Density functional theory data (GGA-PBE) for a relaxed structure of La5PrTm4.

extended XYZ file:
```
10
Lattice="-0.745 -0.868 -3.524 3.619 -0.446 -0.655 -1.822 -24.023 6.303" Properties=species:S:1:pos:R:3 pbc="T T T"
Pr 0.000 0.000 0.000
Tm -1.448 -19.095 5.010
Tm -0.374 -4.928 1.293
Tm -1.090 -14.371 3.770
Tm -0.732 -9.652 2.532
La 0.884 -7.950 -0.176
La -0.192 -22.144 3.548
La 0.526 -12.669 1.062
La 1.245 -3.193 -1.424
La 0.169 -17.387 2.300
```

Results
calculated formation energy	26	meV/atom
ΔE to the lowest computed polymorph	0.00	eV per formula unit
DFT total energy	-47.04	eV for the cell shown

***

Entry 8:
Density functional theory data (GGA-PBE) for a relaxed structure of La4Pr3Tm4.

extended XYZ file:
```
11
Lattice="3.652 -0.004 -0.310 -0.052 5.104 -0.639 -0.119 -0.061 20.183" Properties=species:S:1:pos:R:3 pbc="T T T"
La 0.616 0.912 7.240
La 2.865 4.128 11.995
La 1.525 2.260 17.878
La 1.957 2.780 1.357
Tm 0.311 0.458 3.644
Tm 0.913 1.352 10.696
Tm 3.171 4.582 15.591
Tm 2.568 3.688 8.539
Pr 2.260 3.230 4.924
Pr 1.222 1.810 14.311
Pr 0.000 0.000 0.000
```

Results
calculated formation energy	25	meV/atom
ΔE to the lowest computed polymorph	0.00	eV per formula unit
DFT total energy	-51.66	eV for the cell shown